The following is a PBE-GGA calculation of crystalline MnTlI3 at its relaxed geometry, from the Alexandria database.

The value obtained for the energy relative to the lowest polymorph listed for this composition is 80.6 kJ/mol of atoms. For the raw formation energy, the calculation gives 0.32 eV/atom. The calculation puts the total energy at -2.91 eV/atom.

It has space group Pm-3m (No. 221), with a = 6.136 Å, b = 6.136 Å, c = 6.136 Å, α = 90.00°, β = 90.00° and γ = 90.00°. The inequivalent atoms are Mn at (0.000, 0.000, 0.000), Tl at (0.500, 0.500, 0.500) and I at (0.000, 0.500, 0.500).